# KTaTcO6

KTaTcO6 after structural relaxation (PBE-GGA, Alexandria).

## Properties
The uncorrected formation energy is -1.99 eV/atom. For the total magnetic moment, the calculation gives 0.113 μB per atom. As for the symmetry: P1 (1).

Cell: 5.329 5.327 5.960 Å, 89.95 90.02 60.07°
Site moments in Bohr magnetons follow the coordinates.
Positions (direct):
K 0.000 0.000 0.000  0.00
O 0.600 0.013 0.315  0.00
O 0.003 0.593 0.688  0.04
O 0.592 0.405 0.688  0.04
O 0.013 0.386 0.315  0.00
O 0.387 0.600 0.315  0.00
O 0.404 0.003 0.688  0.04
Tc 0.333 0.333 0.526  0.77
Ta 0.667 0.666 0.466  0.05

# Rb2BIF6

Rb2BIF6 after structural relaxation (PBE-GGA, Alexandria).

## Properties
The uncorrected formation energy is -2.17 eV/atom. For the total magnetic moment, the calculation gives 0.000 μB per atom. As for the symmetry: I4/mmm (139).

Cell: 6.665 6.665 6.472 Å, 59.01 59.01 90.00°
Positions (direct):
F 0.340 0.340 0.000
F 0.340 0.660 0.000
F 0.660 0.660 0.000
F 0.238 0.238 0.523
F 0.762 0.762 0.477
F 0.660 0.340 0.000
Rb 0.750 0.250 0.500
Rb 0.250 0.750 0.500
I 0.000 0.000 0.000
B 0.500 0.500 0.000